V2IrPt4 | PBE | optimized geometry

Computed properties:
D(E_F): 0.805 states/eV/atom
DFT total energy: -7.32 eV/atom
magnetic moment: 0.00 μB/cell

Unit cell a=6.730 b=6.730 c=6.730 alpha=101.67 beta=113.51 gamma=113.51
Atoms (fractional coordinates):
1 V 0.500 0.647 0.853
2 Pt 0.500 0.006 0.807
3 Pt 0.801 0.807 0.307
4 Ir 0.000 0.750 0.750
5 Pt 0.500 0.693 0.494
6 V 0.500 0.353 0.147
7 Pt 0.500 0.994 0.193
8 Pt 0.199 0.193 0.693
9 Pt 0.801 0.494 0.994
10 V 0.206 0.853 0.353
11 Ir 0.000 0.250 0.250
12 Pt 0.500 0.307 0.506
13 Pt 0.199 0.506 0.006
14 V 0.794 0.147 0.647